Entry 1:
Below is crystalline MgZrMo at its relaxed geometry, with properties calculated at the PBE-GGA level.

Energy of formation, meV/atom: 221
Crystal system: trigonal
Energy relative to the lowest polymorph listed for this composition, meV per atom: 234
E, eV per cell: -20.31
Magnetization, Bohr magnetons per cell: 0.0

The structure in extended XYZ format:
```
3
Lattice="-1.9419 0.1776 -4.5610 2.6857 -3.9281 1.4009 -2.2296 -1.2026 0.9024" Properties=species:S:1:pos:R:3 pbc="T T T"
Mg -0.0712 -0.0384 0.0288
Mo -1.0706 -1.5530 -2.3020
Zr -0.3440 -3.3617 0.0155
```

Entry 2:
Below is crystalline LiCaAcPm at its relaxed geometry, with properties calculated at the PBE-GGA level.

Energy of formation, meV/atom: 232
Crystal system: cubic
E, eV per cell: -11.85
Magnetization, Bohr magnetons per cell: 0.0

The structure in extended XYZ format:
```
4
Lattice="5.8957 0.0000 0.0000 2.9479 5.1058 0.0000 2.9479 1.7019 4.8138" Properties=species:S:1:pos:R:3 pbc="T T T"
Ac 5.8957 3.4039 2.4069
Li 0.0000 0.0000 0.0000
Ca 2.9479 1.7019 1.2035
Pm 8.8436 5.1058 3.6104
```

Q: magnetization of number 2 (LiCaAcPm)?
A: 0.0 Bohr magnetons per cell